# 1
Material: Rb3Pu3CrSe8
Method: DFT, GGA-PBE
State: optimized geometry

Cell and atoms, written as POSCAR:
```
Rb3Pu3CrSe8
1.0
4.145 2.393 8.120
-4.145 2.393 8.120
0.000 -4.786 8.120
Rb Pu Cr Se
3 3 1 8
direct
0.000 0.500 0.500
0.500 0.000 0.500
0.500 0.500 0.000
0.000 0.000 0.500
0.000 0.500 0.000
0.500 0.000 0.000
0.500 0.500 0.500
0.232 0.232 0.232
0.251 0.714 0.714
0.286 0.286 0.749
0.286 0.749 0.286
0.714 0.251 0.714
0.714 0.714 0.251
0.749 0.286 0.286
0.768 0.768 0.768
```

* uncorrected formation energy: -1.242 eV per atom
* total magnetization: 17.00 μB/cell
* symmetry: No. 166
* density of states at the Fermi level: 2.001 states/eV per atom

=====

# 2
Material: Rb3Pu2CrTe6
Method: DFT, GGA-PBE
State: optimized geometry

Cell and atoms, written as POSCAR:
```
Rb3Pu2CrTe6
1.0
3.868 -6.707 0.000
3.868 6.707 0.000
-2.599 0.000 8.468
Rb Pu Cr Te
3 2 1 6
direct
0.000 0.000 0.000
0.327 0.673 0.000
0.673 0.327 0.000
0.166 0.834 0.500
0.834 0.166 0.500
0.500 0.500 0.500
0.127 0.437 0.311
0.255 0.255 0.692
0.437 0.127 0.311
0.563 0.873 0.689
0.745 0.745 0.308
0.873 0.563 0.689
```

* uncorrected formation energy: -0.879 eV per atom
* total magnetization: 13.00 μB/cell
* symmetry: No. 12
* density of states at the Fermi level: 2.050 states/eV per atom

=====

# 3
Material: PuCrRh2
Method: DFT, GGA-PBE
State: optimized geometry

Cell and atoms, written as POSCAR:
```
PuCrRh2
1.0
2.818 0.000 0.000
-1.409 2.440 0.000
0.000 0.000 28.199
Pu Cr Rh
3 3 6
direct
0.000 0.000 0.000
0.333 0.667 0.667
0.667 0.333 0.333
0.000 0.000 0.500
0.333 0.667 0.167
0.667 0.333 0.833
0.000 0.000 0.094
0.000 0.000 0.906
0.333 0.667 0.573
0.333 0.667 0.760
0.667 0.333 0.240
0.667 0.333 0.427
```

* energy relative to the elements: 0.773 eV per formula unit
* total magnetization: 20.89 μB/cell
* symmetry: No. 166
* density of states at the Fermi level: 1.719 states/eV per atom

=====

# 4
Material: PuCrRh2
Method: DFT, GGA-PBE
State: optimized geometry

Cell and atoms, written as POSCAR:
```
PuCrRh2
1.0
3.125 0.000 0.000
0.000 3.125 0.000
0.000 0.000 6.901
Pu Cr Rh
1 1 2
direct
0.000 0.000 0.000
0.000 0.000 0.500
0.500 0.500 0.292
0.500 0.500 0.708
```

* energy relative to the elements: -0.442 eV per formula unit
* total magnetization: 8.19 μB/cell
* symmetry: No. 123
* density of states at the Fermi level: 2.791 states/eV per atom

=====

# 5
Material: Pu6CrRh5
Method: DFT, GGA-PBE
State: optimized geometry

Cell and atoms, written as POSCAR:
```
Pu6CrRh5
1.0
8.113 -2.134 0.000
8.113 2.134 0.000
-2.124 0.000 7.212
Pu Cr Rh
6 1 5
direct
0.007 0.007 0.243
0.318 0.318 0.651
0.329 0.329 0.156
0.671 0.671 0.844
0.682 0.682 0.349
0.993 0.993 0.757
0.500 0.500 0.500
0.133 0.133 0.584
0.147 0.147 0.076
0.500 0.500 0.000
0.853 0.853 0.924
0.867 0.867 0.416
```

* energy relative to the elements: -3.096 eV per formula unit
* total magnetization: 5.62 μB/cell
* symmetry: No. 12
* density of states at the Fermi level: 4.487 states/eV per atom

=====

# 6
Material: Pu6CrRu5
Method: DFT, GGA-PBE
State: optimized geometry

Cell and atoms, written as POSCAR:
```
Pu6CrRu5
1.0
4.535 0.000 0.000
-0.041 6.991 0.000
-2.210 -2.936 7.399
Pu Cr Ru
6 1 5
direct
0.015 0.255 0.029
0.314 0.607 0.625
0.333 0.107 0.662
0.667 0.893 0.338
0.686 0.393 0.375
0.985 0.745 0.971
0.500 0.500 0.000
0.134 0.657 0.269
0.146 0.112 0.300
0.500 0.000 0.000
0.854 0.888 0.700
0.866 0.343 0.731
```

* energy relative to the elements: 0.227 eV per formula unit
* total magnetization: 3.46 μB/cell
* symmetry: No. 2
* density of states at the Fermi level: 3.129 states/eV per atom

=====

# 7
Material: PuScCrRu
Method: DFT, GGA-PBE
State: optimized geometry

Cell and atoms, written as POSCAR:
```
PuScCrRu
1.0
6.594 0.000 0.000
0.000 6.594 0.000
0.000 0.000 6.594
Pu Sc Cr Ru
4 4 4 4
direct
0.000 0.000 0.000
0.000 0.500 0.500
0.500 0.000 0.500
0.500 0.500 0.000
0.000 0.000 0.500
0.000 0.500 0.000
0.500 0.000 0.000
0.500 0.500 0.500
0.250 0.250 0.250
0.250 0.750 0.750
0.750 0.250 0.750
0.750 0.750 0.250
0.250 0.250 0.750
0.250 0.750 0.250
0.750 0.250 0.250
0.750 0.750 0.750
```

* energy relative to the elements: -0.372 eV per formula unit
* total magnetization: 8.21 μB/cell
* symmetry: No. 216
* density of states at the Fermi level: 1.366 states/eV per atom

=====

# 8
Material: TbPuCrRu
Method: DFT, GGA-PBE
State: optimized geometry

Cell and atoms, written as POSCAR:
```
TbPuCrRu
1.0
6.849 0.000 0.000
0.000 6.849 0.000
0.000 0.000 6.849
Tb Pu Cr Ru
4 4 4 4
direct
0.000 0.000 0.000
0.000 0.500 0.500
0.500 0.000 0.500
0.500 0.500 0.000
0.000 0.000 0.500
0.000 0.500 0.000
0.500 0.000 0.000
0.500 0.500 0.500
0.250 0.250 0.750
0.250 0.750 0.250
0.750 0.250 0.250
0.750 0.750 0.750
0.250 0.250 0.250
0.250 0.750 0.750
0.750 0.250 0.750
0.750 0.750 0.250
```

* energy relative to the elements: 0.189 eV per formula unit
* total magnetization: 6.76 μB/cell
* symmetry: No. 216
* density of states at the Fermi level: 1.488 states/eV per atom

=====

Which value of total magnetization does entry 5 give? 5.62 μB/cell

=====

Look up the total magnetization of the fourth one. 8.19 μB/cell

=====

Which of these has the lowest density of states at the Fermi level? PuScCrRu